[1]
TiFeH2: relaxed, PBE-GGA.

Lattice parameters (Å, degrees): 5.218 5.218 2.625 90.00 90.00 96.31
Sites, in units of the cell vectors:
Ti 0.223 0.223 0.000
Ti 0.777 0.777 0.000
Fe 0.267 0.733 0.000
Fe 0.733 0.267 0.000
H 0.000 0.000 0.500
H 0.000 0.500 0.000
H 0.500 0.000 0.000
H 0.500 0.500 0.000

polymorph energy (0 for the lowest one)	429.9	meV per atom

[2]
SmZn12Ga4: relaxed, PBE-GGA.

Lattice parameters (Å, degrees): 7.585 7.585 7.585 109.47 109.47 109.47
Sites, in units of the cell vectors:
Sm 0.000 0.000 0.000
Zn 0.148 0.502 0.354
Zn 0.148 0.794 0.646
Zn 0.206 0.354 0.852
Zn 0.354 0.148 0.502
Zn 0.354 0.852 0.206
Zn 0.498 0.646 0.852
Zn 0.502 0.354 0.148
Zn 0.646 0.148 0.794
Zn 0.646 0.852 0.498
Zn 0.794 0.646 0.148
Zn 0.852 0.206 0.354
Zn 0.852 0.498 0.646
Ga 0.000 0.000 0.500
Ga 0.000 0.500 0.000
Ga 0.500 0.000 0.000
Ga 0.500 0.500 0.500

calculated formation energy	146	meV/atom

[3]
Tl2ReCl6: relaxed, PBE-GGA.

Lattice parameters (Å, degrees): 7.072 7.072 6.286 90.50 90.50 60.04
Sites, in units of the cell vectors:
Tl 0.168 0.168 0.179
Tl 0.832 0.832 0.821
Re 0.500 0.500 0.000
Cl 0.182 0.660 0.215
Cl 0.340 0.340 0.783
Cl 0.340 0.818 0.785
Cl 0.660 0.182 0.215
Cl 0.660 0.660 0.217
Cl 0.818 0.340 0.785

formation energy (no corrections)	-839	meV/atom
polymorph energy (0 for the lowest one)	15.1	meV per atom

[4]
CaTbEu: relaxed, PBE-GGA.

Lattice parameters (Å, degrees): 3.741 3.741 9.298 90.00 90.00 120.00
Sites, in units of the cell vectors:
Ca 0.000 0.000 0.000
Tb 0.667 0.333 0.327
Eu 0.333 0.667 0.648

calculated formation energy	85	meV/atom
polymorph energy (0 for the lowest one)	0.0	meV per atom

[5]
Cs3HoSc2Te6: relaxed, PBE-GGA.

Lattice parameters (Å, degrees): 7.670 7.670 9.224 97.98 97.98 120.00
Sites, in units of the cell vectors:
Cs 0.000 0.000 0.000
Cs 0.337 0.663 0.000
Cs 0.663 0.337 0.000
Ho 0.500 0.500 0.500
Sc 0.167 0.833 0.500
Sc 0.833 0.167 0.500
Te 0.095 0.439 0.316
Te 0.217 0.217 0.682
Te 0.439 0.095 0.316
Te 0.561 0.905 0.684
Te 0.783 0.783 0.318
Te 0.905 0.561 0.684

formation energy (no corrections)	-1278	meV/atom

[6]
VGaPb3: relaxed, PBE-GGA.

Lattice parameters (Å, degrees): 5.434 5.434 5.434 90.00 90.00 90.00
Sites, in units of the cell vectors:
V 0.000 0.000 0.000
Ga 0.500 0.500 0.500
Pb 0.000 0.500 0.500
Pb 0.500 0.000 0.500
Pb 0.500 0.500 0.000

calculated formation energy	884	meV/atom
polymorph energy (0 for the lowest one)	489.3	meV per atom

[7]
KRbVRh2: relaxed, PBE-GGA.

Lattice parameters (Å, degrees): 5.038 5.038 5.308 90.00 90.00 90.00
Sites, in units of the cell vectors:
K 0.000 0.000 0.000
Rb 0.000 0.000 0.500
V 0.500 0.500 0.000
Rh 0.000 0.500 0.500
Rh 0.500 0.000 0.500

calculated formation energy	2218	meV/atom

[8]
Ga2Pd9Pb: relaxed, PBE-GGA.

Lattice parameters (Å, degrees): 4.005 4.005 11.848 90.00 90.00 90.00
Sites, in units of the cell vectors:
Ga 0.000 0.000 0.160
Ga 0.000 0.000 0.840
Pd 0.000 0.500 0.000
Pd 0.000 0.500 0.319
Pd 0.000 0.500 0.681
Pd 0.500 0.000 0.000
Pd 0.500 0.000 0.319
Pd 0.500 0.000 0.681
Pd 0.500 0.500 0.160
Pd 0.500 0.500 0.500
Pd 0.500 0.500 0.840
Pb 0.000 0.000 0.500

calculated formation energy	-390	meV/atom

[9]
RbMg2AlTe4: relaxed, PBE-GGA.

Lattice parameters (Å, degrees): 8.589 8.589 15.732 90.00 90.00 151.68
Sites, in units of the cell vectors:
Rb 0.145 0.855 0.750
Rb 0.855 0.145 0.250
Mg 0.397 0.603 0.568
Mg 0.397 0.603 0.932
Mg 0.603 0.397 0.068
Mg 0.603 0.397 0.432
Al 0.142 0.858 0.250
Al 0.858 0.142 0.750
Te 0.000 0.000 0.000
Te 0.000 0.000 0.500
Te 0.222 0.778 0.108
Te 0.222 0.778 0.392
Te 0.461 0.539 0.750
Te 0.539 0.461 0.250
Te 0.778 0.222 0.608
Te 0.778 0.222 0.892

formation energy (no corrections)	-745	meV/atom

[10]
CsGePbAu2: relaxed, PBE-GGA.

Lattice parameters (Å, degrees): 5.654 5.654 5.510 90.00 90.00 90.00
Sites, in units of the cell vectors:
Cs 0.000 0.000 0.000
Ge 0.500 0.500 0.000
Pb 0.500 0.500 0.500
Au 0.000 0.500 0.500
Au 0.500 0.000 0.500

calculated formation energy	248	meV/atom

[11]
Hg2PdF6: relaxed, PBE-GGA.

Lattice parameters (Å, degrees): 7.150 7.150 7.150 49.57 49.57 49.57
Sites, in units of the cell vectors:
Hg 0.000 0.000 0.000
Hg 0.138 0.138 0.138
Pd 0.825 0.825 0.825
F 0.037 0.049 0.582
F 0.049 0.582 0.037
F 0.072 0.622 0.608
F 0.582 0.037 0.049
F 0.608 0.072 0.622
F 0.622 0.608 0.072

formation energy (no corrections)	-1226	meV/atom
polymorph energy (0 for the lowest one)	80.5	meV per atom

[12]
TlPHO3: relaxed, PBE-GGA.

Lattice parameters (Å, degrees): 5.765 8.495 8.025 90.00 94.24 90.00
Sites, in units of the cell vectors:
Tl 0.031 0.249 0.098
Tl 0.031 0.251 0.598
Tl 0.969 0.749 0.402
Tl 0.969 0.751 0.902
P 0.478 0.551 0.124
P 0.478 0.949 0.624
P 0.522 0.051 0.376
P 0.522 0.449 0.876
H 0.463 0.649 0.697
H 0.463 0.851 0.197
H 0.537 0.149 0.803
H 0.537 0.351 0.303
O 0.220 0.546 0.156
O 0.220 0.954 0.656
O 0.371 0.558 0.747
O 0.371 0.942 0.247
O 0.406 0.214 0.372
O 0.406 0.286 0.872
O 0.594 0.714 0.128
O 0.594 0.786 0.628
O 0.629 0.058 0.753
O 0.629 0.442 0.253
O 0.780 0.046 0.344
O 0.780 0.454 0.844

raw total energy	-141.07	eV per cell